Entry 1:
# YCo3As (SCAN, single point on PBEsol structure)
data_YCo3As
_symmetry_space_group_name_H-M 'P m -3 m'
_symmetry_Int_Tables_number 221
_symmetry_space_group_name_Hall '-P 4 2 3'
_cell_length_a 4.5066
_cell_length_b 4.5066
_cell_length_c 4.5066
_cell_angle_alpha 90.00
_cell_angle_beta 90.00
_cell_angle_gamma 90.00
loop_
_atom_site_label
_atom_site_type_symbol
_atom_site_fract_x
_atom_site_fract_y
_atom_site_fract_z
Y1 Y 0.0000 0.0000 0.0000
Co1 Co 0.0000 0.0000 0.5000
As1 As 0.5000 0.5000 0.5000
# - calculated density (g/cm³) = 6.2
# - V (Å³/atom) = 18.31
# - E_form (kJ/mol of atoms) = 174.4
# - size of the total moment (μB per formula unit) = 3.60


Entry 2:
# AgPtPb2 (SCAN, single point on PBEsol structure)
data_AgPtPb2
_symmetry_space_group_name_H-M 'P 1 2/m 1'
_symmetry_Int_Tables_number 10
_symmetry_space_group_name_Hall '-P 2y'
_cell_length_a 3.4631
_cell_length_b 3.4643
_cell_length_c 7.1965
_cell_angle_alpha 90.00
_cell_angle_beta 90.28
_cell_angle_gamma 90.00
loop_
_atom_site_label
_atom_site_type_symbol
_atom_site_fract_x
_atom_site_fract_y
_atom_site_fract_z
Ag1 Ag 0.0000 0.0000 0.0000
Pt1 Pt 0.0000 0.0000 0.5000
Pb1 Pb 0.4988 0.5000 0.2692
# - calculated density (g/cm³) = 13.8
# - V (Å³/atom) = 21.58
# - E_form (kJ/mol of atoms) = 7.5
# - size of the total moment (μB per formula unit) = 0.00
# - polymorph energy (0 for the lowest one) (eV per formula unit) = 0.31


Entry 3:
# Li2HfTi (SCAN, single point on PBEsol structure)
data_Li2HfTi
_symmetry_space_group_name_H-M 'I -4 2 d'
_symmetry_Int_Tables_number 122
_symmetry_space_group_name_Hall 'I -4 2bw'
_cell_length_a 7.3235
_cell_length_b 7.3235
_cell_length_c 5.1021
_cell_angle_alpha 90.00
_cell_angle_beta 90.00
_cell_angle_gamma 90.00
loop_
_atom_site_label
_atom_site_type_symbol
_atom_site_fract_x
_atom_site_fract_y
_atom_site_fract_z
Li1 Li 0.2367 0.2500 0.1250
Hf1 Hf 0.0000 0.0000 0.5000
Ti1 Ti 0.0000 0.0000 0.0000
# - calculated density (g/cm³) = 5.8
# - V (Å³/atom) = 17.10
# - E_form (kJ/mol of atoms) = 62.1
# - size of the total moment (μB per formula unit) = 0.00


Entry 4:
# Y2MgCd (SCAN, single point on PBEsol structure)
data_Y2MgCd
_symmetry_space_group_name_H-M 'I m m 2'
_symmetry_Int_Tables_number 44
_symmetry_space_group_name_Hall 'I 2 -2'
_cell_length_a 3.6322
_cell_length_b 5.2595
_cell_length_c 10.7878
_cell_angle_alpha 90.00
_cell_angle_beta 90.00
_cell_angle_gamma 90.00
loop_
_atom_site_label
_atom_site_type_symbol
_atom_site_fract_x
_atom_site_fract_y
_atom_site_fract_z
Y1 Y 0.0000 0.0000 0.0000
Y2 Y 0.0000 0.5000 0.2264
Mg1 Mg 0.0000 0.0000 0.4558
Cd1 Cd 0.0000 0.5000 0.7502
# - calculated density (g/cm³) = 5.1
# - V (Å³/atom) = 25.76
# - E_form (kJ/mol of atoms) = -23.1
# - size of the total moment (μB per formula unit) = 1.01


Entry 5:
# In2Sn2Hg (SCAN, single point on PBEsol structure)
data_In2Sn2Hg
_symmetry_space_group_name_H-M 'P 4/m b m'
_symmetry_Int_Tables_number 127
_symmetry_space_group_name_Hall '-P 4 2ab'
_cell_length_a 7.7888
_cell_length_b 7.7888
_cell_length_c 4.3981
_cell_angle_alpha 90.00
_cell_angle_beta 90.00
_cell_angle_gamma 90.00
loop_
_atom_site_label
_atom_site_type_symbol
_atom_site_fract_x
_atom_site_fract_y
_atom_site_fract_z
In1 In 0.1632 0.3368 0.0000
Sn1 Sn 0.1404 0.6404 0.5000
Hg1 Hg 0.0000 0.0000 0.5000
# - calculated density (g/cm³) = 8.3
# - V (Å³/atom) = 26.68
# - E_form (kJ/mol of atoms) = 12.4
# - size of the total moment (μB per formula unit) = 0.00
# - polymorph energy (0 for the lowest one) (eV per formula unit) = 0.29


Entry 6:
# BaIrW (SCAN, single point on PBEsol structure)
data_BaIrW
_symmetry_space_group_name_H-M 'F -4 3 m'
_symmetry_Int_Tables_number 216
_symmetry_space_group_name_Hall 'F -4 2 3'
_cell_length_a 6.6402
_cell_length_b 6.6402
_cell_length_c 6.6402
_cell_angle_alpha 90.00
_cell_angle_beta 90.00
_cell_angle_gamma 90.00
loop_
_atom_site_label
_atom_site_type_symbol
_atom_site_fract_x
_atom_site_fract_y
_atom_site_fract_z
Ba1 Ba 0.0000 0.0000 0.0000
Ir1 Ir 0.2500 0.2500 0.7500
W1 W 0.0000 0.0000 0.5000
# - calculated density (g/cm³) = 11.6
# - V (Å³/atom) = 24.40
# - E_form (kJ/mol of atoms) = 151.2
# - size of the total moment (μB per formula unit) = 0.01